1.
A plane-wave DFT calculation with PBE was carried out for a relaxed AgB2Ru2 crystal.

DFT total energy = -6.617 eV per atom

```
data_AgB2Ru2
_chemical_formula_sum 'Ag2 B4 Ru4'
_space_group_name_H-M_alt 'I 4/m m m'
_space_group_IT_number 139
_space_group_name_Hall '-I 4 2'
_cell_length_a 3.8187
_cell_length_b 3.8187
_cell_length_c 8.6410
_cell_angle_alpha 90.00
_cell_angle_beta 90.00
_cell_angle_gamma 90.00
loop_
_atom_site_label
_atom_site_type_symbol
_atom_site_fract_x
_atom_site_fract_y
_atom_site_fract_z
_atom_site_occupancy
Ag1 Ag 0.0000 0.0000 0.0000 1
B1 B 0.0000 0.5000 0.2500 1
Ru1 Ru 0.0000 0.0000 0.3527 1
```

=====

2.
A plane-wave DFT calculation with PBE was carried out for a relaxed MgGa2Ge2 crystal.

DFT total energy = -3.312 eV per atom

```
data_MgGa2Ge2
_chemical_formula_sum 'Mg2 Ga4 Ge4'
_space_group_name_H-M_alt 'P 4/m b m'
_space_group_IT_number 127
_space_group_name_Hall '-P 4 2ab'
_cell_length_a 7.2075
_cell_length_b 7.2075
_cell_length_c 3.8515
_cell_angle_alpha 90.00
_cell_angle_beta 90.00
_cell_angle_gamma 90.00
loop_
_atom_site_label
_atom_site_type_symbol
_atom_site_fract_x
_atom_site_fract_y
_atom_site_fract_z
_atom_site_occupancy
Mg1 Mg 0.0000 0.0000 0.0000 1
Ga1 Ga 0.1676 0.3324 0.5000 1
Ge1 Ge 0.1308 0.6308 0.0000 1
```

=====

3.
A plane-wave DFT calculation with PBE was carried out for a relaxed HoBeSi2Rh crystal.

ΔE_f (raw) = -3.9 eV per formula unit
DFT total energy = -6.087 eV per atom

```
data_HoBeSi2Rh
_chemical_formula_sum 'Ho2 Be2 Si4 Rh2'
_space_group_name_H-M_alt 'I -4 m 2'
_space_group_IT_number 119
_space_group_name_Hall 'I -4 -2'
_cell_length_a 3.8776
_cell_length_b 3.8776
_cell_length_c 10.2695
_cell_angle_alpha 90.00
_cell_angle_beta 90.00
_cell_angle_gamma 90.00
loop_
_atom_site_label
_atom_site_type_symbol
_atom_site_fract_x
_atom_site_fract_y
_atom_site_fract_z
_atom_site_occupancy
Ho1 Ho 0.0000 0.0000 0.0000 1
Be1 Be 0.0000 0.5000 0.2500 1
Si1 Si 0.0000 0.0000 0.3841 1
Rh1 Rh 0.0000 0.5000 0.7500 1
```

=====

4.
A plane-wave DFT calculation with PBE was carried out for a relaxed Li4SiHg crystal.

ΔE_f (raw) = 0.2 eV per formula unit
Energy above the lowest structure with this stoichiometry = 278 meV per atom
DFT total energy = -2.204 eV per atom

```
data_Li4SiHg
_chemical_formula_sum 'Li16 Si4 Hg4'
_space_group_name_H-M_alt 'F -4 3 m'
_space_group_IT_number 216
_space_group_name_Hall 'F -4 2 3'
_cell_length_a 7.2893
_cell_length_b 7.2893
_cell_length_c 7.2893
_cell_angle_alpha 90.00
_cell_angle_beta 90.00
_cell_angle_gamma 90.00
loop_
_atom_site_label
_atom_site_type_symbol
_atom_site_fract_x
_atom_site_fract_y
_atom_site_fract_z
_atom_site_occupancy
Li1 Li 0.1239 0.1239 0.1239 1
Si1 Si 0.2500 0.2500 0.7500 1
Hg1 Hg 0.0000 0.0000 0.5000 1
```

=====

5.
A plane-wave DFT calculation with PBE was carried out for a relaxed CaMgTa2 crystal.

DFT total energy = -6.476 eV per atom

```
data_CaMgTa2
_chemical_formula_sum 'Ca2 Mg2 Ta4'
_space_group_name_H-M_alt 'C m m 2'
_space_group_IT_number 35
_space_group_name_Hall 'C 2 -2'
_cell_length_a 3.5058
_cell_length_b 4.9074
_cell_length_c 10.2219
_cell_angle_alpha 90.00
_cell_angle_beta 90.00
_cell_angle_gamma 90.00
loop_
_atom_site_label
_atom_site_type_symbol
_atom_site_fract_x
_atom_site_fract_y
_atom_site_fract_z
_atom_site_occupancy
Ca1 Ca 0.0000 0.0000 0.0000 1
Mg1 Mg 0.0000 0.5000 0.2848 1
Ta1 Ta 0.0000 0.0000 0.5263 1
Ta2 Ta 0.0000 0.5000 0.7320 1
```

=====

6.
A plane-wave DFT calculation with PBE was carried out for a relaxed La6Sm2YHo crystal.

DFT total energy = -4.818 eV per atom

```
data_La6Sm2YHo
_chemical_formula_sum 'La12 Sm4 Y2 Ho2'
_space_group_name_H-M_alt 'C 1 2/m 1'
_space_group_IT_number 12
_space_group_name_Hall '-C 2y'
_cell_length_a 11.5359
_cell_length_b 7.0164
_cell_length_c 9.2473
_cell_angle_alpha 90.00
_cell_angle_beta 107.47
_cell_angle_gamma 90.00
loop_
_atom_site_label
_atom_site_type_symbol
_atom_site_fract_x
_atom_site_fract_y
_atom_site_fract_z
_atom_site_occupancy
La1 La 0.1284 0.0000 0.4213 1
La2 La 0.1961 0.2688 0.8035 1
Sm1 Sm 0.0742 0.5000 0.1714 1
Y1 Y 0.0000 0.5000 0.5000 1
Ho1 Ho 0.0000 0.0000 0.0000 1
```